[1]
Density functional theory data (PBE) for a geometry-optimized MgPaIr structure.

Values from the calculation:
- theoretical density (Mg/m³) = 10.58
- relative energy among the computed polymorphs (eV/atom) = 0.000
- electronic total energy (eV for the cell shown) = -20.91

Cell lengths 4.632, 4.632, 4.632 Å; angles 60.00, 60.00, 60.00 degrees
Fractional coordinates of all 3 atoms:
Ir: 0.000 0.000 0.000
Mg: 0.750 0.750 0.750
Pa: 0.250 0.250 0.250



[2]
Density functional theory data (PBE) for a geometry-optimized Mg3IrPb structure.

Values from the calculation:
- theoretical density (Mg/m³) = 7.14
- electronic total energy (eV for the cell shown) = -17.69

Cell lengths 3.144, 6.101, 6.263 Å; angles 99.04, 104.23, 104.27 degrees
Fractional coordinates of all 5 atoms:
Ir: 0.243 0.274 0.728
Mg: 0.024 0.538 0.044
Mg: 0.461 0.999 0.421
Mg: 0.771 0.538 0.524
Pb: 0.708 0.985 0.950



[3]
Density functional theory data (PBE) for a geometry-optimized MgScIrPb structure.

Values from the calculation:
- theoretical density (Mg/m³) = 10.29
- relative energy among the computed polymorphs (eV/atom) = 0.026
- electronic total energy (eV for the cell shown) = -21.58

Cell lengths 4.747, 4.747, 4.747 Å; angles 60.00, 60.00, 60.00 degrees
Fractional coordinates of all 4 atoms:
Ir: 0.250 0.250 0.250
Mg: 0.750 0.750 0.750
Pb: 0.500 0.500 0.500
Sc: 0.000 0.000 0.000



[4]
Density functional theory data (PBE) for a geometry-optimized MgScIrPb structure.

Values from the calculation:
- theoretical density (Mg/m³) = 10.01
- relative energy among the computed polymorphs (eV/atom) = 0.000
- electronic total energy (eV for the cell shown) = -21.69

Cell lengths 4.791, 4.791, 4.791 Å; angles 60.00, 60.00, 60.00 degrees
Fractional coordinates of all 4 atoms:
Ir: 0.000 0.000 0.000
Mg: 0.750 0.750 0.750
Pb: 0.500 0.500 0.500
Sc: 0.250 0.250 0.250



[5]
Density functional theory data (PBE) for a geometry-optimized MgScIrPb structure.

Values from the calculation:
- theoretical density (Mg/m³) = 10.23
- relative energy among the computed polymorphs (eV/atom) = 0.085
- electronic total energy (eV for the cell shown) = -21.35

Cell lengths 4.756, 4.756, 4.756 Å; angles 60.00, 60.00, 60.00 degrees
Fractional coordinates of all 4 atoms:
Ir: 0.500 0.500 0.500
Mg: 0.750 0.750 0.750
Pb: 0.250 0.250 0.250
Sc: 0.000 0.000 0.000



[6]
Density functional theory data (PBE) for a geometry-optimized YMgIrPb structure.

Values from the calculation:
- theoretical density (Mg/m³) = 10.32
- relative energy among the computed polymorphs (eV/atom) = 0.083
- electronic total energy (eV for the cell shown) = -21.41

Cell lengths 4.887, 4.887, 4.887 Å; angles 60.00, 60.00, 60.00 degrees
Fractional coordinates of all 4 atoms:
Ir: 0.500 0.500 0.500
Mg: 0.750 0.750 0.750
Pb: 0.250 0.250 0.250
Y: 0.000 0.000 0.000



[7]
Density functional theory data (PBE) for a geometry-optimized YMgIrPb structure.

Values from the calculation:
- theoretical density (Mg/m³) = 10.29
- relative energy among the computed polymorphs (eV/atom) = 0.015
- electronic total energy (eV for the cell shown) = -21.68

Cell lengths 4.891, 4.891, 4.891 Å; angles 60.00, 60.00, 60.00 degrees
Fractional coordinates of all 4 atoms:
Ir: 0.250 0.250 0.250
Mg: 0.750 0.750 0.750
Pb: 0.500 0.500 0.500
Y: 0.000 0.000 0.000



[8]
Density functional theory data (PBE) for a geometry-optimized YMgIrPb structure.

Values from the calculation:
- theoretical density (Mg/m³) = 9.88
- relative energy among the computed polymorphs (eV/atom) = 0.000
- electronic total energy (eV for the cell shown) = -21.74

Cell lengths 4.958, 4.958, 4.958 Å; angles 60.00, 60.00, 60.00 degrees
Fractional coordinates of all 4 atoms:
Ir: 0.000 0.000 0.000
Mg: 0.750 0.750 0.750
Pb: 0.500 0.500 0.500
Y: 0.250 0.250 0.250



[9]
Density functional theory data (PBE) for a geometry-optimized MgIrPd structure.

Values from the calculation:
- theoretical density (Mg/m³) = 9.68
- relative energy among the computed polymorphs (eV/atom) = 0.000
- electronic total energy (eV for the cell shown) = -14.90

Cell lengths 4.279, 4.279, 4.279 Å; angles 60.00, 60.00, 60.00 degrees
Fractional coordinates of all 3 atoms:
Ir: 0.250 0.250 0.250
Mg: 0.750 0.750 0.750
Pd: 0.000 0.000 0.000



[10]
Density functional theory data (PBE) for a geometry-optimized Pr3Mg3IrPd2 structure.

Values from the calculation:
- theoretical density (Mg/m³) = 7.18
- electronic total energy (eV for the cell shown) = -43.76

Cell lengths 7.567, 7.567, 4.199 Å; angles 90.00, 90.00, 120.00 degrees
Fractional coordinates of all 9 atoms:
Ir: 0.000 0.000 0.000
Mg: 0.236 0.000 0.500
Mg: 0.000 0.236 0.500
Mg: 0.764 0.764 0.500
Pd: 0.667 0.333 0.500
Pd: 0.333 0.667 0.500
Pr: 0.594 0.000 0.000
Pr: 0.406 0.406 0.000
Pr: 0.000 0.594 0.000



[11]
Density functional theory data (PBE) for a geometry-optimized Tb2PrMg3Ir2Pd structure.

Values from the calculation:
- theoretical density (Mg/m³) = 8.75
- electronic total energy (eV for the cell shown) = -47.55

Cell lengths 4.057, 7.448, 7.448 Å; angles 120.40, 90.00, 90.00 degrees
Fractional coordinates of all 9 atoms:
Ir: 0.500 0.673 0.331
Ir: 0.500 0.331 0.673
Mg: 0.500 0.997 0.247
Mg: 0.500 0.755 0.755
Mg: 0.500 0.247 0.997
Pd: 0.000 0.995 0.995
Pr: 0.000 0.419 0.419
Tb: 0.000 0.000 0.584
Tb: 0.000 0.584 0.000



[12]
Density functional theory data (PBE) for a geometry-optimized Sm3Mg3Ir2Pd structure.

Values from the calculation:
- theoretical density (Mg/m³) = 8.58
- electronic total energy (eV for the cell shown) = -47.60

Cell lengths 7.472, 7.472, 4.062 Å; angles 90.00, 90.00, 120.00 degrees
Fractional coordinates of all 9 atoms:
Ir: 0.667 0.333 0.500
Ir: 0.333 0.667 0.500
Mg: 0.754 0.000 0.500
Mg: 0.246 0.246 0.500
Mg: 0.000 0.754 0.500
Pd: 0.000 0.000 0.000
Sm: 0.417 0.000 0.000
Sm: 0.000 0.417 0.000
Sm: 0.583 0.583 0.000



[13]
Density functional theory data (PBE) for a geometry-optimized Mg4Sn2IrPd structure.

Values from the calculation:
- theoretical density (Mg/m³) = 6.65
- electronic total energy (eV for the cell shown) = -31.84

Cell lengths 4.608, 4.608, 8.599 Å; angles 90.00, 90.00, 120.00 degrees
Fractional coordinates of all 8 atoms:
Ir: 0.000 0.000 0.000
Mg: 0.333 0.667 0.170
Mg: 0.000 0.000 0.321
Mg: 0.000 0.000 0.679
Mg: 0.333 0.667 0.830
Pd: 0.333 0.667 0.500
Sn: 0.667 0.333 0.000
Sn: 0.667 0.333 0.500



[14]
Density functional theory data (PBE) for a geometry-optimized Tb2TmMg3Ir2Pd structure.

Values from the calculation:
- theoretical density (Mg/m³) = 9.32
- electronic total energy (eV for the cell shown) = -47.58

Cell lengths 4.009, 7.337, 7.337 Å; angles 119.80, 90.00, 90.00 degrees
Fractional coordinates of all 9 atoms:
Ir: 0.500 0.663 0.335
Ir: 0.500 0.335 0.663
Mg: 0.500 0.249 0.001
Mg: 0.500 0.001 0.249
Mg: 0.500 0.750 0.750
Pd: 0.000 0.003 0.003
Tb: 0.000 0.584 0.000
Tb: 0.000 0.000 0.584
Tm: 0.000 0.414 0.414



[15]
Density functional theory data (PBE) for a geometry-optimized TbTm2Mg3Ir2Pd structure.

Values from the calculation:
- theoretical density (Mg/m³) = 9.50
- electronic total energy (eV for the cell shown) = -47.49

Cell lengths 3.995, 7.328, 7.328 Å; angles 120.22, 90.00, 90.00 degrees
Fractional coordinates of all 9 atoms:
Ir: 0.500 0.670 0.332
Ir: 0.500 0.332 0.670
Mg: 0.500 0.999 0.250
Mg: 0.500 0.751 0.751
Mg: 0.500 0.250 0.999
Pd: 0.000 0.997 0.997
Tb: 0.000 0.417 0.417
Tm: 0.000 0.000 0.585
Tm: 0.000 0.585 0.000



[16]
Density functional theory data (PBE) for a geometry-optimized Tm3Mg3IrPd2 structure.

Values from the calculation:
- theoretical density (Mg/m³) = 8.75
- electronic total energy (eV for the cell shown) = -43.55

Cell lengths 7.242, 7.242, 4.116 Å; angles 90.00, 90.00, 120.00 degrees
Fractional coordinates of all 9 atoms:
Ir: 0.000 0.000 0.500
Mg: 0.757 0.000 0.000
Mg: 0.243 0.243 0.000
Mg: 0.000 0.757 0.000
Pd: 0.667 0.333 0.000
Pd: 0.333 0.667 0.000
Tm: 0.403 0.000 0.500
Tm: 0.000 0.403 0.500
Tm: 0.597 0.597 0.500



[17]
Density functional theory data (PBE) for a geometry-optimized Y2TmMg3Ir2Pd structure.

Values from the calculation:
- theoretical density (Mg/m³) = 8.08
- electronic total energy (eV for the cell shown) = -51.24

Cell lengths 4.007, 7.332, 7.332 Å; angles 119.68, 90.00, 90.00 degrees
Fractional coordinates of all 9 atoms:
Ir: 0.500 0.665 0.338
Ir: 0.500 0.338 0.665
Mg: 0.500 0.750 0.000
Mg: 0.500 0.249 0.249
Mg: 0.500 0.000 0.750
Pd: 0.000 0.996 0.996
Tm: 0.000 0.586 0.586
Y: 0.000 0.000 0.416
Y: 0.000 0.416 0.000



[18]
Density functional theory data (PBE) for a geometry-optimized YTm2Mg3Ir2Pd structure.

Values from the calculation:
- theoretical density (Mg/m³) = 8.88
- electronic total energy (eV for the cell shown) = -49.33

Cell lengths 3.993, 7.329, 7.329 Å; angles 120.32, 90.00, 90.00 degrees
Fractional coordinates of all 9 atoms:
Ir: 0.500 0.671 0.332
Ir: 0.500 0.332 0.671
Mg: 0.500 0.250 0.000
Mg: 0.500 0.000 0.250
Mg: 0.500 0.749 0.749
Pd: 0.000 0.996 0.996
Tm: 0.000 0.585 0.000
Tm: 0.000 0.000 0.585
Y: 0.000 0.417 0.417



[19]
Density functional theory data (PBE) for a geometry-optimized Y3Mg3IrPd2 structure.

Values from the calculation:
- theoretical density (Mg/m³) = 6.39
- electronic total energy (eV for the cell shown) = -49.41

Cell lengths 7.347, 7.347, 4.139 Å; angles 90.00, 90.00, 120.00 degrees
Fractional coordinates of all 9 atoms:
Ir: 0.000 0.000 0.500
Mg: 0.242 0.000 0.000
Mg: 0.000 0.242 0.000
Mg: 0.758 0.758 0.000
Pd: 0.667 0.333 0.000
Pd: 0.333 0.667 0.000
Y: 0.597 0.000 0.500
Y: 0.403 0.403 0.500
Y: 0.000 0.597 0.500



[20]
Density functional theory data (PBE) for a geometry-optimized Y3Mg2ZnIr2Pd structure.

Values from the calculation:
- theoretical density (Mg/m³) = 7.85
- electronic total energy (eV for the cell shown) = -52.98

Cell lengths 3.996, 7.299, 7.299 Å; angles 120.04, 90.00, 90.00 degrees
Fractional coordinates of all 9 atoms:
Ir: 0.500 0.667 0.333
Ir: 0.500 0.333 0.667
Mg: 0.500 0.999 0.753
Mg: 0.500 0.753 0.999
Pd: 0.000 0.005 0.005
Y: 0.000 0.414 0.007
Y: 0.000 0.007 0.414
Y: 0.000 0.572 0.572
Zn: 0.500 0.252 0.252